The following is a DFT calculation (PBEsol) of an optimized crystal structure of BaTePb.

energy relative to the lowest polymorph listed for this composition	0	meV per atom

Structure (CIF):
```
data_BaTePb
_chemical_formula_sum 'Ba1 Te1 Pb1'
_symmetry_space_group_name_H-M 'P -6 m 2'
_symmetry_Int_Tables_number 187
_symmetry_space_group_name_Hall 'P -6 2'
_cell_length_a 5.3717
_cell_length_b 5.3717
_cell_length_c 4.2484
_cell_angle_alpha 90.00
_cell_angle_beta 90.00
_cell_angle_gamma 120.00
loop_
_atom_site_label
_atom_site_fract_x
_atom_site_fract_y
_atom_site_fract_z
Ba1 0.0000 0.0000 0.0000
Te1 0.6667 0.3333 0.5000
Pb1 0.3333 0.6667 0.5000
```


The following is a DFT calculation (PBEsol) of an optimized crystal structure of BaTiPb3.

ΔH_f (0 K)	-115	kJ/mol of formula units

Structure (CIF):
```
data_BaTiPb3
_chemical_formula_sum 'Ba1 Ti1 Pb3'
_symmetry_space_group_name_H-M 'P m -3 m'
_symmetry_Int_Tables_number 221
_symmetry_space_group_name_Hall '-P 4 2 3'
_cell_length_a 5.3963
_cell_length_b 5.3963
_cell_length_c 5.3963
_cell_angle_alpha 90.00
_cell_angle_beta 90.00
_cell_angle_gamma 90.00
loop_
_atom_site_label
_atom_site_fract_x
_atom_site_fract_y
_atom_site_fract_z
Ba1 0.0000 0.0000 0.0000
Ti1 0.5000 0.5000 0.5000
Pb1 0.0000 0.5000 0.5000
```


The following is a DFT calculation (PBEsol) of an optimized crystal structure of BaTl2Pb.

energy relative to the lowest polymorph listed for this composition	81	meV per atom
ΔH_f (0 K)	-102	kJ/mol of formula units

Structure (CIF):
```
data_BaTl2Pb
_chemical_formula_sum 'Ba1 Tl2 Pb1'
_symmetry_space_group_name_H-M 'P m m 2'
_symmetry_Int_Tables_number 25
_cell_length_a 3.8474
_cell_length_b 4.3740
_cell_length_c 7.5836
_cell_angle_alpha 90.00
_cell_angle_beta 90.00
_cell_angle_gamma 90.00
loop_
_symmetry_equiv_pos_as_xyz
'x,y,z'
'-x,-y,z'
'-x,y,z'
'x,-y,z'
loop_
_atom_site_label
_atom_site_fract_x
_atom_site_fract_y
_atom_site_fract_z
Ba1 0.0000 0.0000 0.0000
Tl1 0.0000 0.0000 0.5031
Tl2 0.5000 0.5000 0.7113
Pb1 0.5000 0.5000 0.2964
```


The following is a DFT calculation (PBEsol) of an optimized crystal structure of BaTl2Pb.

energy relative to the lowest polymorph listed for this composition	0	meV per atom
ΔH_f (0 K)	-133	kJ/mol of formula units

Structure (CIF):
```
data_BaTl2Pb
_chemical_formula_sum 'Ba2 Tl4 Pb2'
_symmetry_space_group_name_H-M 'I 4/m m m'
_symmetry_Int_Tables_number 139
_symmetry_space_group_name_Hall '-I 4 2'
_cell_length_a 5.4536
_cell_length_b 5.4536
_cell_length_c 8.5219
_cell_angle_alpha 90.00
_cell_angle_beta 90.00
_cell_angle_gamma 90.00
loop_
_atom_site_label
_atom_site_fract_x
_atom_site_fract_y
_atom_site_fract_z
Ba1 0.0000 0.0000 0.0000
Tl1 0.0000 0.5000 0.2500
Pb1 0.0000 0.0000 0.5000
```


The following is a DFT calculation (PBEsol) of an optimized crystal structure of BaTlPb2.

energy relative to the lowest polymorph listed for this composition	93	meV per atom
ΔH_f (0 K)	-99	kJ/mol of formula units

Structure (CIF):
```
data_BaTlPb2
_chemical_formula_sum 'Ba1 Tl1 Pb2'
_symmetry_space_group_name_H-M 'P 4/m m m'
_symmetry_Int_Tables_number 123
_symmetry_space_group_name_Hall '-P 4 2'
_cell_length_a 4.1714
_cell_length_b 4.1714
_cell_length_c 7.5128
_cell_angle_alpha 90.00
_cell_angle_beta 90.00
_cell_angle_gamma 90.00
loop_
_atom_site_label
_atom_site_fract_x
_atom_site_fract_y
_atom_site_fract_z
Ba1 0.0000 0.0000 0.0000
Tl1 0.0000 0.0000 0.5000
Pb1 0.5000 0.5000 0.2942
```


The following is a DFT calculation (PBEsol) of an optimized crystal structure of BaTlPb2.

energy relative to the lowest polymorph listed for this composition	47	meV per atom
ΔH_f (0 K)	-117	kJ/mol of formula units

Structure (CIF):
```
data_BaTlPb2
_chemical_formula_sum 'Ba4 Tl4 Pb8'
_symmetry_space_group_name_H-M 'F -4 3 m'
_symmetry_Int_Tables_number 216
_symmetry_space_group_name_Hall 'F -4 2 3'
_cell_length_a 8.0319
_cell_length_b 8.0319
_cell_length_c 8.0319
_cell_angle_alpha 90.00
_cell_angle_beta 90.00
_cell_angle_gamma 90.00
loop_
_atom_site_label
_atom_site_fract_x
_atom_site_fract_y
_atom_site_fract_z
Ba1 0.0000 0.0000 0.0000
Tl1 0.2500 0.2500 0.7500
Pb1 0.0000 0.0000 0.5000
Pb2 0.2500 0.2500 0.2500
```